! CaTcB2Ru PBE-GGA optimized geometry; values from VASP
&SYSTEM
  ibrav = 0, nat = 5, ntyp = 4
/
ATOMIC_SPECIES
B 10.81 B.upf
Ru 101.07 Ru.upf
Tc 98.00 Tc.upf
Ca 40.08 Ca.upf
ATOMIC_POSITIONS crystal
B 0.500 0.000 0.000
Ru 0.000 0.500 0.000
B 0.000 0.000 0.500
Tc 0.500 0.500 0.500
Ca 0.000 0.000 0.000
CELL_PARAMETERS angstrom
-2.179 3.659 0.401
-3.644 -2.010 -1.458
-1.027 -1.052 4.017
! Formation enthalpy at 0 K: 2.96 eV/atom
! Size of the total moment: 0.0 μB/cell
! Theoretical density: 5366 kg/m³